## 1
VASP calculation (PBE) on a relaxed GaB3Pd crystal.

It has space group Pm-3m (No. 221), with a = 4.138 Å, b = 4.138 Å, c = 4.138 Å, α = 90.00°, β = 90.00° and γ = 90.00°. The asymmetric unit holds Ga at (0.000, 0.000, 0.000), B at (0.000, 0.500, 0.500) and Pd at (0.500, 0.500, 0.500).

The density of states at the Fermi level comes out at 2.9 states/eV/f.u.

---

## 2
VASP calculation (PBE) on a relaxed GaB3Pd crystal.

It has space group Pm-3m (No. 221), with a = 4.078 Å, b = 4.078 Å, c = 4.078 Å, α = 90.00°, β = 90.00° and γ = 90.00°. The asymmetric unit holds Ga at (0.000, 0.000, 0.000), B at (0.000, 0.000, 0.500) and Pd at (0.500, 0.500, 0.500).

The density of states at the Fermi level comes out at 2.1 states/eV/f.u.

---

The structure with the greatest stability is 1.